Entry 1:
CoP2Cl: PBEsol geometry, SCAN.

**Crystal system**: orthorhombic
**Energy relative to the lowest polymorph listed for this composition**: 0.000 eV per atom
**VASP energy**: -11.4011 eV/atom

Unit cell a=2.4910 b=3.2367 c=7.6438 alpha=90.00 beta=90.00 gamma=90.00
Positions (direct):
Co1 0.0000 0.0000 0.0000
P1 0.5000 0.5000 0.1597
P2 0.5000 0.5000 0.8403
Cl1 0.0000 0.0000 0.5000

***

Entry 2:
Co3PCl: PBEsol geometry, SCAN.

**Crystal system**: cubic
**VASP energy**: -12.9869 eV/atom

Unit cell a=4.0423 b=4.0423 c=4.0423 alpha=90.00 beta=90.00 gamma=90.00
Positions (direct):
Co1 0.0000 0.0000 0.5000
Co2 0.0000 0.5000 0.0000
Co3 0.5000 0.0000 0.0000
P1 0.5000 0.5000 0.5000
Cl1 0.0000 0.0000 0.0000

***

| no. | size of the total moment (μB/cell) |
| --- | --- |
| 1 | 0.00 |
| 2 | 3.32 |